This record from the Alexandria database describes crystalline K2NaIn3Br6 at its relaxed geometry. The functional is PBE.

Summary:
- VASP energy: -35.6 eV for the cell shown
- E_form (uncorrected): -111.4 kJ per mole of atoms

Cell and atoms, written as POSCAR:
```
K2NaIn3Br6
1.0
10.1890 -2.3261 0.0000
10.1890 2.3261 0.0000
-2.1714 0.0000 9.1299
K Na In Br
2 1 3 6
Direct
0.1644 0.1644 0.3297 K
0.8356 0.8356 0.6703 K
0.5000 0.5000 0.0000 Na
0.1640 0.1640 0.8398 In
0.5000 0.5000 0.5000 In
0.8360 0.8360 0.1602 In
0.0040 0.0040 0.7708 Br
0.3331 0.3331 0.4188 Br
0.3498 0.3498 0.9239 Br
0.6502 0.6502 0.0761 Br
0.6669 0.6669 0.5812 Br
0.9960 0.9960 0.2292 Br
```

This record from the Alexandria database describes crystalline KNbInBr6 at its relaxed geometry. The functional is PBE.

Summary:
- VASP energy: -66.2 eV for the cell shown
- E_form (uncorrected): -97.9 kJ per mole of atoms

Cell and atoms, written as POSCAR:
```
KNbInBr6
1.0
7.6884 0.0000 0.0000
-3.8442 6.6584 0.0000
0.0000 0.0000 13.2882
K Nb In Br
2 2 2 12
Direct
0.0000 0.0000 0.0000 K
0.0000 0.0000 0.5000 K
0.3333 0.6667 0.2500 Nb
0.6667 0.3333 0.7500 Nb
0.3333 0.6667 0.7500 In
0.6667 0.3333 0.2500 In
0.0527 0.3917 0.1375 Br
0.0527 0.6610 0.3625 Br
0.3390 0.3917 0.3625 Br
0.3390 0.9473 0.1375 Br
0.3917 0.0527 0.6375 Br
0.3917 0.3390 0.8625 Br
0.6083 0.6610 0.1375 Br
0.6083 0.9473 0.3625 Br
0.6610 0.0527 0.8625 Br
0.6610 0.6083 0.6375 Br
0.9473 0.3390 0.6375 Br
0.9473 0.6083 0.8625 Br
```

This record from the Alexandria database describes crystalline K2NdInBr6 at its relaxed geometry. The functional is PBE.

Summary:
- VASP energy: -35.7 eV for the cell shown
- E_form (uncorrected): -154.1 kJ per mole of atoms

Cell and atoms, written as POSCAR:
```
K2NdInBr6
1.0
8.1505 0.0000 0.0000
4.0747 7.0672 0.0000
4.0724 2.3551 7.1015
K Nd In Br
2 1 1 6
Direct
0.0000 0.0000 0.0000 K
0.4909 0.4902 0.5285 K
0.7941 0.7940 0.6182 Nd
0.2848 0.2846 0.1461 In
0.0441 0.6784 0.8336 Br
0.1510 0.5908 0.3593 Br
0.4446 0.0435 0.8336 Br
0.5905 0.8990 0.3594 Br
0.6787 0.4444 0.8336 Br
0.8992 0.1509 0.3594 Br
```

This record from the Alexandria database describes crystalline K2InNiBr at its relaxed geometry. The functional is PBE.

Summary:
- VASP energy: -11.4 eV for the cell shown
- E_form (uncorrected): 18.8 kJ per mole of atoms

Cell and atoms, written as POSCAR:
```
K2InNiBr
1.0
6.0446 0.0000 0.0000
0.0000 6.0446 0.0000
0.0000 0.0000 6.1448
K In Ni Br
2 1 1 1
Direct
0.0000 0.5000 0.0000 K
0.5000 0.0000 0.0000 K
0.0000 0.0000 0.5000 In
0.5000 0.5000 0.5000 Ni
0.0000 0.0000 0.0000 Br
```

This record from the Alexandria database describes crystalline K2NpInBr6 at its relaxed geometry. The functional is PBE.

Summary:
- VASP energy: -83.4 eV for the cell shown
- E_form (uncorrected): -132.9 kJ per mole of atoms

Cell and atoms, written as POSCAR:
```
K2NpInBr6
1.0
7.8700 0.0000 0.0000
0.0000 8.5382 0.0000
-7.6420 0.0000 11.4546
K Np In Br
4 2 2 12
Direct
0.2125 0.0851 0.2467 K
0.2125 0.4149 0.7467 K
0.7875 0.5851 0.2533 K
0.7875 0.9149 0.7533 K
0.5000 0.0000 0.0000 Np
0.5000 0.5000 0.5000 Np
0.0000 0.0000 0.5000 In
0.0000 0.5000 0.0000 In
0.1393 0.1786 0.9348 Br
0.1393 0.3214 0.4348 Br
0.2622 0.7127 0.9265 Br
0.2622 0.7873 0.4265 Br
0.4055 0.0583 0.7673 Br
0.4055 0.4417 0.2673 Br
0.5945 0.5583 0.7327 Br
0.5945 0.9417 0.2327 Br
0.7378 0.2127 0.5735 Br
0.7378 0.2873 0.0735 Br
0.8607 0.6786 0.5652 Br
0.8607 0.8214 0.0652 Br
```

This record from the Alexandria database describes crystalline KNpIn2Br6 at its relaxed geometry. The functional is PBE.

Summary:
- VASP energy: -41.1 eV for the cell shown
- E_form (uncorrected): -111.1 kJ per mole of atoms

Cell and atoms, written as POSCAR:
```
KNpIn2Br6
1.0
4.0794 2.3552 7.0737
-4.0794 2.3552 7.0737
0.0000 -4.7105 7.0737
K Np In Br
1 1 2 6
Direct
0.0000 0.0000 0.0000 K
0.4917 0.4917 0.4917 Np
0.2912 0.2912 0.2912 In
0.7968 0.7968 0.7968 In
0.1344 0.6835 0.3915 Br
0.2419 0.6153 0.8346 Br
0.3915 0.1344 0.6835 Br
0.6153 0.8346 0.2419 Br
0.6835 0.3915 0.1344 Br
0.8346 0.2419 0.6153 Br
```

This record from the Alexandria database describes crystalline KNpIn2Br8 at its relaxed geometry. The functional is PBE.

Summary:
- VASP energy: -45.7 eV for the cell shown
- E_form (uncorrected): -102.6 kJ per mole of atoms

Cell and atoms, written as POSCAR:
```
KNpIn2Br8
1.0
6.8457 0.0000 0.0000
0.0247 7.2458 0.0000
0.0097 0.0042 9.3327
K Np In Br
1 1 2 8
Direct
0.0000 0.0000 0.0000 K
0.0000 0.0000 0.5000 Np
0.4999 0.5001 0.2429 In
0.5001 0.4999 0.7571 In
0.2365 0.8472 0.7143 Br
0.2372 0.3129 0.5002 Br
0.2372 0.8479 0.2856 Br
0.2840 0.3601 0.0002 Br
0.7160 0.6399 0.9998 Br
0.7628 0.1521 0.7144 Br
0.7628 0.6871 0.4998 Br
0.7635 0.1528 0.2857 Br
```

This record from the Alexandria database describes crystalline K2NpInBr8 at its relaxed geometry. The functional is PBE.

Summary:
- VASP energy: -46.5 eV for the cell shown
- E_form (uncorrected): -122.3 kJ per mole of atoms

Cell and atoms, written as POSCAR:
```
K2NpInBr8
1.0
7.0709 0.0000 0.0000
-0.4258 7.4110 0.0000
-0.0371 -0.0420 8.8289
K Np In Br
2 1 1 8
Direct
0.0011 0.0015 0.2441 K
0.9989 0.9985 0.7559 K
0.5000 0.5000 0.5000 Np
0.5000 0.5000 0.0000 In
0.2776 0.1724 0.5027 Br
0.2778 0.6246 0.7560 Br
0.2795 0.6272 0.2437 Br
0.2974 0.1902 0.0002 Br
0.7026 0.8098 0.9998 Br
0.7205 0.3728 0.7563 Br
0.7222 0.3754 0.2440 Br
0.7224 0.8276 0.4973 Br
```